The following is a DFT calculation (GGA-PBE) of a geometry-optimized FeCu2Tc4 structure.

Energy relative to the elements   1.360 eV/atom
SG   No. 139

Unit cell a=6.8305 b=6.8305 c=6.8305 alpha=142.80 beta=142.80 gamma=53.63
With the nearest neighbours (Å) after each atom.
Fractional positions:
Fe  0.0000  0.0000  0.0000  6 Tc 2.18-2.23
Cu  0.3821  0.3821  0.0000  5 Tc 2.43-2.61
Cu  0.6179  0.6179  0.0000  5 Tc 2.43-2.61
Tc  0.0000  0.5000  0.5000  2 Fe 2.18
Tc  0.1828  0.1828  0.0000  1 Fe 2.23, 1 Cu 2.43
Tc  0.5000  0.0000  0.5000  2 Fe 2.18
Tc  0.8172  0.8172  0.0000  1 Fe 2.23, 1 Cu 2.43